(1)
Material: ReTcOs2
Method: DFT, GGA-PBEsol
State: relaxed

Output
Symmetry ... Cmmm (65)
DOS at the Fermi energy ... 3.59 states/eV per cell
Energy above the lowest structure with this stoichiometry ... 137 meV/atom
Calculated volume ... 56.6 Å³/f.u.
DFT formation energy ... 0.04 eV/atom

a b c (Å): 2.7168 4.7003 4.7003
angles (deg): 109.50 90.00 90.00
Sites, in units of the cell vectors:
Os 0.0000 0.5000 0.0000
Os 0.0000 0.0000 0.5000
Re 0.5000 0.0000 0.0000
Tc 0.5000 0.5000 0.5000

(2)
Material: ReTcOs2
Method: DFT, GGA-PBEsol
State: relaxed

Output
Symmetry ... Pmm2 (25)
DOS at the Fermi energy ... 2.88 states/eV per cell
Energy above the lowest structure with this stoichiometry ... 0 meV/atom
Calculated volume ... 56.3 Å³/f.u.
DFT formation energy ... -0.10 eV/atom

a b c (Å): 2.7354 4.3449 4.7374
angles (deg): 90.00 90.00 90.00
Sites, in units of the cell vectors:
Re 0.5000 0.0000 0.5397
Os 0.0000 0.0000 0.0445
Os 0.0000 0.5000 0.7081
Tc 0.5000 0.5000 0.2077

(3)
Material: ReTcOs2
Method: DFT, GGA-PBEsol
State: relaxed

Output
Symmetry ... Cm (8)
DOS at the Fermi energy ... 4.14 states/eV per cell
Energy above the lowest structure with this stoichiometry ... 161 meV/atom
Calculated volume ... 56.6 Å³/f.u.
DFT formation energy ... 0.06 eV/atom

a b c (Å): 2.7151 4.7046 4.7029
angles (deg): 99.55 90.00 106.77
Sites, in units of the cell vectors:
Os 0.0005 0.0011 0.0042
Os 0.2493 0.4986 0.7478
Re 0.5024 0.0047 0.5046
Tc 0.7478 0.4956 0.2433

(4)
Material: ReTcOs2
Method: DFT, GGA-PBEsol
State: relaxed

Output
Symmetry ... C2/m (12)
DOS at the Fermi energy ... 4.11 states/eV per cell
Energy above the lowest structure with this stoichiometry ... 164 meV/atom
Calculated volume ... 56.6 Å³/f.u.
DFT formation energy ... 0.07 eV/atom

a b c (Å): 2.7152 4.6908 4.7127
angles (deg): 99.61 106.74 90.00
Sites, in units of the cell vectors:
Os 0.2497 0.2516 0.4993
Os 0.7503 0.7484 0.5007
Re 0.5000 0.0000 0.0000
Tc 0.0000 0.5000 0.0000

(5)
Material: Re2TeOs
Method: DFT, GGA-PBEsol
State: relaxed

Output
Symmetry ... Cmm2 (35)
DOS at the Fermi energy ... 4.33 states/eV per cell
E_form (uncorrected) ... 0.93 eV/atom
Calculated volume ... 66.8 Å³/f.u.

a b c (Å): 2.8072 2.8072 9.6207
angles (deg): 90.00 90.00 118.22
Sites, in units of the cell vectors:
Os 0.5000 0.5000 0.2284
Re 0.0000 0.0000 0.0011
Re 0.5000 0.5000 0.7757
Te 0.0000 0.0000 0.4949

(6)
Material: ReTeOs2
Method: DFT, GGA-PBEsol
State: relaxed

Output
Symmetry ... P4/mmm (123)
DOS at the Fermi energy ... 3.21 states/eV per cell
E_form (uncorrected) ... 0.58 eV/atom
Calculated volume ... 63.8 Å³/f.u.

a b c (Å): 2.9297 2.9297 7.4366
angles (deg): 90.00 90.00 90.00
Sites, in units of the cell vectors:
Os 0.0000 0.0000 0.7699
Os 0.0000 0.0000 0.2301
Re 0.5000 0.5000 0.0000
Te 0.5000 0.5000 0.5000

(7)
Material: Re2TeOs
Method: DFT, GGA-PBEsol
State: relaxed

Output
Symmetry ... Cm (8)
DOS at the Fermi energy ... 3.13 states/eV per cell
E_form (uncorrected) ... 0.64 eV/atom
Calculated volume ... 63.9 Å³/f.u.

a b c (Å): 2.9203 4.6916 4.9105
angles (deg): 95.45 107.30 90.00
Sites, in units of the cell vectors:
Os 0.2691 0.7777 0.5381
Re 0.0016 0.9933 0.0033
Re 0.7316 0.2294 0.4632
Te 0.4977 0.4996 0.9954

(8)
Material: ReTeOs2
Method: DFT, GGA-PBEsol
State: relaxed

Output
Symmetry ... Cmmm (65)
DOS at the Fermi energy ... 4.47 states/eV per cell
E_form (uncorrected) ... 0.83 eV/atom
Calculated volume ... 62.8 Å³/f.u.

a b c (Å): 2.9078 4.7139 4.7139
angles (deg): 103.61 90.00 90.00
Sites, in units of the cell vectors:
Os 0.0000 0.5000 0.0000
Os 0.0000 0.0000 0.5000
Re 0.5000 0.0000 0.0000
Te 0.5000 0.5000 0.5000

(9)
Material: ReTeOs
Method: DFT, GGA-PBEsol
State: relaxed

Output
Symmetry ... I4mm (107)
DOS at the Fermi energy ... 3.26 states/eV per cell
E_form (uncorrected) ... 0.64 eV/atom
Calculated volume ... 51.1 Å³/f.u.

a b c (Å): 2.9841 2.9841 6.1124
angles (deg): 104.13 104.13 90.00
Sites, in units of the cell vectors:
Os 0.0181 0.0181 0.0363
Re 0.6510 0.6510 0.3021
Te 0.3308 0.3308 0.6616

(10)
Material: Ti2ReOs
Method: DFT, GGA-PBEsol
State: relaxed

Output
Symmetry ... Fm-3m (225)
DOS at the Fermi energy ... 2.79 states/eV per cell
Calculated volume ... 57.9 Å³/f.u.
DFT formation energy ... -0.56 eV/atom

a b c (Å): 4.3436 4.3436 4.3436
angles (deg): 60.00 60.00 60.00
Sites, in units of the cell vectors:
Re 0.0000 0.0000 0.0000
Os 0.5000 0.5000 0.5000
Ti 0.2500 0.2500 0.2500
Ti 0.7500 0.7500 0.7500

(11)
Material: Ti2ReOs
Method: DFT, GGA-PBEsol
State: relaxed

Output
Symmetry ... P4/mmm (123)
DOS at the Fermi energy ... 2.37 states/eV per cell
Calculated volume ... 58.0 Å³/f.u.
DFT formation energy ... -0.56 eV/atom

a b c (Å): 3.0676 3.0676 6.1599
angles (deg): 90.00 90.00 90.00
Sites, in units of the cell vectors:
Re 0.0000 0.0000 0.5000
Os 0.0000 0.0000 0.0000
Ti 0.5000 0.5000 0.2495
Ti 0.5000 0.5000 0.7505

(12)
Material: TlReOs2
Method: DFT, GGA-PBEsol
State: relaxed

Output
Symmetry ... Pmmm (47)
DOS at the Fermi energy ... 3.10 states/eV per cell
Energy above the lowest structure with this stoichiometry ... 0 meV/atom
Calculated volume ... 63.8 Å³/f.u.
DFT formation energy ... 0.68 eV/atom

a b c (Å): 2.8154 3.7760 6.0020
angles (deg): 90.00 90.00 90.00
Sites, in units of the cell vectors:
Os 0.0000 0.0000 0.7820
Os 0.0000 0.0000 0.2180
Re 0.5000 0.5000 0.0000
Tl 0.5000 0.5000 0.5000

(13)
Material: TlReOs2
Method: DFT, GGA-PBEsol
State: relaxed

Output
Symmetry ... Pmm2 (25)
DOS at the Fermi energy ... 4.01 states/eV per cell
Energy above the lowest structure with this stoichiometry ... 80 meV/atom
Calculated volume ... 64.1 Å³/f.u.
DFT formation energy ... 0.77 eV/atom

a b c (Å): 2.8003 3.9138 5.8515
angles (deg): 90.00 90.00 90.00
Sites, in units of the cell vectors:
Os 0.0000 0.0000 0.0243
Os 0.5000 0.5000 0.2643
Re 0.0000 0.0000 0.4553
Tl 0.5000 0.5000 0.7561

(14)
Material: Re2OsW
Method: DFT, GGA-PBEsol
State: relaxed

Output
Symmetry ... Pmmm (47)
DOS at the Fermi energy ... 4.31 states/eV per cell
Energy above the lowest structure with this stoichiometry ... 219 meV/atom
Calculated volume ... 59.5 Å³/f.u.
DFT formation energy ... 0.36 eV/atom

a b c (Å): 2.9014 4.5179 4.5361
angles (deg): 90.00 90.00 90.00
Sites, in units of the cell vectors:
Os 0.0000 0.5000 0.5000
Re 0.0000 0.0000 0.0000
Re 0.5000 0.5000 0.0000
W 0.5000 0.0000 0.5000

(15)
Material: ReOsW2
Method: DFT, GGA-PBEsol
State: relaxed

Output
Symmetry ... P4/mmm (123)
DOS at the Fermi energy ... 3.42 states/eV per cell
Energy above the lowest structure with this stoichiometry ... 0 meV/atom
Calculated volume ... 60.2 Å³/f.u.
DFT formation energy ... 0.14 eV/atom

a b c (Å): 3.8738 3.9407 3.9407
angles (deg): 90.00 90.00 90.00
Sites, in units of the cell vectors:
Os 0.5000 0.5000 0.5000
Re 0.5000 0.0000 0.0000
W 0.0000 0.0000 0.5000
W 0.0000 0.5000 0.0000

(16)
Material: Re2OsW
Method: DFT, GGA-PBEsol
State: relaxed

Output
Symmetry ... R-3m (166)
DOS at the Fermi energy ... 3.74 states/eV per cell
Energy above the lowest structure with this stoichiometry ... 33 meV/atom
Calculated volume ... 59.2 Å³/f.u.
DFT formation energy ... 0.17 eV/atom

a b c (Å): 2.7454 2.7454 9.2131
angles (deg): 81.43 81.43 60.00
Sites, in units of the cell vectors:
Os 0.5000 0.5000 0.5000
Re 0.2476 0.2476 0.2571
Re 0.7524 0.7524 0.7429
W 0.0000 0.0000 0.0000

(17)
Material: ReOsW2
Method: DFT, GGA-PBEsol
State: relaxed

Output
Symmetry ... Cmmm (65)
DOS at the Fermi energy ... 4.09 states/eV per cell
Energy above the lowest structure with this stoichiometry ... 102 meV/atom
Calculated volume ... 60.2 Å³/f.u.
DFT formation energy ... 0.25 eV/atom

a b c (Å): 2.7115 2.7115 8.7124
angles (deg): 90.00 90.00 109.94
Sites, in units of the cell vectors:
Os 0.5000 0.5000 0.5000
Re 0.5000 0.5000 0.0000
W 0.0000 0.0000 0.2514
W 0.0000 0.0000 0.7486

(18)
Material: Re2OsW
Method: DFT, GGA-PBEsol
State: relaxed

Output
Symmetry ... Fm-3m (225)
DOS at the Fermi energy ... 5.15 states/eV per cell
Energy above the lowest structure with this stoichiometry ... 248 meV/atom
Calculated volume ... 59.4 Å³/f.u.
DFT formation energy ... 0.39 eV/atom

a b c (Å): 4.3786 4.3786 4.3786
angles (deg): 60.00 60.00 60.00
Sites, in units of the cell vectors:
Os 0.0000 0.0000 0.0000
Re 0.2500 0.2500 0.2500
Re 0.7500 0.7500 0.7500
W 0.5000 0.5000 0.5000

(19)
Material: Re2OsW
Method: DFT, GGA-PBEsol
State: relaxed

Output
Symmetry ... R3m (160)
DOS at the Fermi energy ... 3.51 states/eV per cell
Energy above the lowest structure with this stoichiometry ... 0 meV/atom
Calculated volume ... 59.0 Å³/f.u.
DFT formation energy ... 0.14 eV/atom

a b c (Å): 2.7513 2.7513 9.1439
angles (deg): 81.35 81.35 60.00
Sites, in units of the cell vectors:
Os 0.7498 0.7498 0.7508
Re 0.9996 0.9996 0.0013
Re 0.2521 0.2521 0.2437
W 0.4986 0.4986 0.5043

(20)
Material: Re2Os2W
Method: DFT, GGA-PBEsol
State: relaxed

Output
Symmetry ... I4/mmm (139)
DOS at the Fermi energy ... 5.24 states/eV per cell
Calculated volume ... 81.8 Å³/f.u.
DFT formation energy ... 0.88 eV/atom

a b c (Å): 3.7433 3.7433 6.4110
angles (deg): 106.97 106.97 90.00
Sites, in units of the cell vectors:
Os 0.2500 0.7500 0.5000
Os 0.7500 0.2500 0.5000
Re 0.6022 0.6022 0.2044
Re 0.3978 0.3978 0.7956
W 0.0000 0.0000 0.0000